## Sm2TlWO8 (PBE with a Hubbard U)

Data for Sm2TlWO8 after structural relaxation.

```
Sm2TlWO8
1.0
3.3843 -3.5955 0.0000
3.3843 3.5955 0.0000
-0.2302 0.0000 7.3717
Sm Tl W O
2 1 1 8
Direct
0.0360 0.0360 0.2549 Sm
0.9640 0.9640 0.7451 Sm
0.5000 0.5000 0.0000 Tl
0.5000 0.5000 0.5000 W
0.2011 0.2011 0.9830 O
0.2158 0.2158 0.5316 O
0.2816 0.6497 0.3065 O
0.3503 0.7184 0.6935 O
0.6497 0.2816 0.3065 O
0.7184 0.3503 0.6935 O
0.7842 0.7842 0.4684 O
0.7989 0.7989 0.0170 O
```

The calculation puts the energy at -7.069 eV/atom. As for the density of states at the Fermi level: 6.0 states/eV/f.u. The space group is C2/m. The calculation puts the spin magnetization at 1.0 μB/cell.